# V2O3, optimized geometry, DFT GGA+U
# E (eV/atom): -7.72
# Total magnetization (Bohr magnetons per cell): 16.00
# Calculated density (g/cm3): 3.34
data_V2O3
_chemical_formula_sum 'V8 O12'
_symmetry_space_group_name_H-M 'I b a m'
_symmetry_Int_Tables_number 72
_symmetry_space_group_name_Hall '-I 2 2c'
_cell_length_a 5.565
_cell_length_b 9.299
_cell_length_c 5.765
_cell_angle_alpha 90.00
_cell_angle_beta 90.00
_cell_angle_gamma 90.00
loop_
_atom_site_label
_atom_site_type_symbol
_atom_site_fract_x
_atom_site_fract_y
_atom_site_fract_z
V1 V 0.000 0.195 0.250
O1 O 0.000 0.000 0.250
O2 O 0.220 0.268 0.000